(1)
First-principles (PBE) data for an optimized crystal structure of CsKSnS3, as listed in the Alexandria database.

## Properties
- Uncorrected formation energy: -874 meV per atom
- DOS at the Fermi energy: 0.00 states/eV/cell
- Mass density: 2759 kg/m3
- VASP energy: -3.930 eV per atom
- Spin magnetization: 0.00 μB per formula unit

```
data_CsKSnS3
_symmetry_space_group_name_H-M 'C 1 2/m 1'
_symmetry_Int_Tables_number 12
_symmetry_space_group_name_Hall '-C 2y'
_cell_length_a 8.905
_cell_length_b 10.184
_cell_length_c 10.477
_cell_angle_alpha 90.00
_cell_angle_beta 101.42
_cell_angle_gamma 90.00
loop_
_atom_site_label
_atom_site_type_symbol
_atom_site_fract_x
_atom_site_fract_y
_atom_site_fract_z
_atom_site_occupancy
Cs1 Cs 0.242 0.000 0.075 1
K1 K 0.000 0.306 0.500 1
Sn1 Sn 0.049 0.000 0.677 1
S1 S 0.060 0.197 0.793 1
S2 S 0.199 0.000 0.497 1
```

***

(2)
First-principles (PBE) data for an optimized crystal structure of KPb3, as listed in the Alexandria database.

## Properties
- DOS at the Fermi energy: 4.20 states/eV/cell
- Mass density: 8396 kg/m3
- VASP energy: -3.113 eV per atom
- Spin magnetization: 0.00 μB per formula unit

```
data_KPb3
_symmetry_space_group_name_H-M 'I 4/m m m'
_symmetry_Int_Tables_number 139
_symmetry_space_group_name_Hall '-I 4 2'
_cell_length_a 5.077
_cell_length_b 5.077
_cell_length_c 10.138
_cell_angle_alpha 90.00
_cell_angle_beta 90.00
_cell_angle_gamma 90.00
loop_
_atom_site_label
_atom_site_type_symbol
_atom_site_fract_x
_atom_site_fract_y
_atom_site_fract_z
_atom_site_occupancy
K1 K 0.000 0.000 0.000 1
Pb1 Pb 0.000 0.000 0.500 1
Pb2 Pb 0.000 0.500 0.250 1
```

***

(3)
First-principles (PBE) data for an optimized crystal structure of AcP2, as listed in the Alexandria database.

## Properties
- DOS at the Fermi energy: 4.46 states/eV/cell
- Mass density: 4939 kg/m3
- VASP energy: -5.601 eV per atom
- Spin magnetization: 0.00 μB per formula unit
- Distance to the lowest polymorph of the same formula: 23.94 kJ/mol of atoms

```
data_AcP2
_symmetry_space_group_name_H-M 'P 63/m m c'
_symmetry_Int_Tables_number 194
_symmetry_space_group_name_Hall '-P 6c 2c'
_cell_length_a 4.6878
_cell_length_b 4.6878
_cell_length_c 10.2081
_cell_angle_alpha 90.00
_cell_angle_beta 90.00
_cell_angle_gamma 120.00
loop_
_atom_site_label
_atom_site_type_symbol
_atom_site_fract_x
_atom_site_fract_y
_atom_site_fract_z
_atom_site_occupancy
Ac1 Ac 0.0000 0.0000 0.0000 1
P1 P 0.3333 0.6667 0.1460 1
```

***

(4)
First-principles (PBE) data for an optimized crystal structure of Be5Ni, as listed in the Alexandria database.

## Properties
- DOS at the Fermi energy: 2.99 states/eV/cell
- Mass density: 3451 kg/m3
- VASP energy: -4.247 eV per atom
- Spin magnetization: 0.00 μB per formula unit

```
data_Be5Ni
_symmetry_space_group_name_H-M 'C m m m'
_symmetry_Int_Tables_number 65
_symmetry_space_group_name_Hall '-C 2 2'
_cell_length_a 3.163
_cell_length_b 9.661
_cell_length_c 3.268
_cell_angle_alpha 90.00
_cell_angle_beta 90.00
_cell_angle_gamma 90.00
loop_
_atom_site_label
_atom_site_type_symbol
_atom_site_fract_x
_atom_site_fract_y
_atom_site_fract_z
_atom_site_occupancy
Be1 Be 0.000 0.000 0.000 1
Be2 Be 0.000 0.170 0.500 1
Be3 Be 0.000 0.331 0.000 1
Ni1 Ni 0.000 0.500 0.500 1
```

***

mass density of number 4 (Be5Ni)?
3451 kg/m3